Material: Ce12AlGa6
Method: DFT, PBE-GGA
State: relaxed

Cell lengths 8.525, 8.525, 8.525 Å; angles 109.23, 109.23, 109.23 degrees
Atoms (fractional coordinates):
1 Ce 0.000 0.373 0.627
2 Ce 0.000 0.627 0.373
3 Ce 0.180 0.180 0.464
4 Ce 0.180 0.464 0.180
5 Ce 0.373 0.000 0.627
6 Ce 0.373 0.627 0.000
7 Ce 0.464 0.180 0.180
8 Ce 0.536 0.820 0.820
9 Ce 0.627 0.000 0.373
10 Ce 0.627 0.373 0.000
11 Ce 0.820 0.536 0.820
12 Ce 0.820 0.820 0.536
13 Al 0.500 0.500 0.500
14 Ga 0.160 0.812 0.812
15 Ga 0.188 0.188 0.840
16 Ga 0.188 0.840 0.188
17 Ga 0.812 0.160 0.812
18 Ga 0.812 0.812 0.160
19 Ga 0.840 0.188 0.188

Results
**Total moment**: 9.68 μB per cell
**Calculated total energy**: -5.02 eV per atom